A plane-wave DFT calculation with PBE was carried out for an optimized crystal structure of Zr2NbIr2.

Unit cell a=7.876 b=7.876 c=3.024 alpha=90.00 beta=90.00 gamma=90.00
Sites, in units of the cell vectors:
Zr (0.151, 0.349, 0.000)
Zr (0.349, 0.849, 0.000)
Zr (0.651, 0.151, 0.000)
Zr (0.849, 0.651, 0.000)
Nb (0.000, 0.000, 0.000)
Nb (0.500, 0.500, 0.000)
Ir (0.149, 0.649, 0.500)
Ir (0.351, 0.149, 0.500)
Ir (0.649, 0.851, 0.500)
Ir (0.851, 0.351, 0.500)

Energy of formation from the pure elements in eV per atom: -0.341


A plane-wave DFT calculation with PBE was carried out for an optimized crystal structure of TaMn2Sb.

Unit cell a=3.127 b=3.127 c=24.482 alpha=90.00 beta=90.00 gamma=120.00
Sites, in units of the cell vectors:
Ta (0.000, 0.000, 0.000)
Ta (0.333, 0.667, 0.667)
Ta (0.667, 0.333, 0.333)
Mn (0.000, 0.000, 0.254)
Mn (0.000, 0.000, 0.746)
Mn (0.333, 0.667, 0.412)
Mn (0.333, 0.667, 0.921)
Mn (0.667, 0.333, 0.079)
Mn (0.667, 0.333, 0.588)
Sb (0.000, 0.000, 0.500)
Sb (0.333, 0.667, 0.167)
Sb (0.667, 0.333, 0.833)


Record-wise DFT total energy values, in eV/atom: -9.32; -8.25
Record-wise magnetization values, in μB/atom: 0.10; 1.12